1.
Below is an optimized crystal structure of K4RbSr, with properties calculated at the PBE-GGA level.

Cell lengths 8.4842, 8.4842, 8.4842 Å; angles 60.00, 60.00, 60.00 degrees
Element x y z (fractional)
Sr (0.0000, 0.0000, 0.0000)
K (0.6256, 0.6256, 0.1232)
K (0.6256, 0.1232, 0.6256)
K (0.6256, 0.6256, 0.6256)
K (0.1232, 0.6256, 0.6256)
Rb (0.2500, 0.2500, 0.2500)

Summary:
Crystal system   cubic
Uncorrected energy   -6.4 eV/cell
Magnetization   0.00 μB per formula unit

2.
Below is an optimized crystal structure of Ac4SnTe2As, with properties calculated at the PBE-GGA level.

Cell lengths 4.7208, 8.1605, 8.2345 Å; angles 109.36, 90.00, 90.00 degrees
Element x y z (fractional)
Ac (0.5000, 0.2377, 0.2283)
Ac (0.5000, 0.7623, 0.7717)
Ac (0.0000, 0.2501, 0.7662)
Ac (0.0000, 0.7499, 0.2338)
Sn (0.5000, 0.5000, 0.0000)
Te (0.5000, 0.0000, 0.5000)
Te (0.0000, 0.5000, 0.5000)
As (0.0000, 0.0000, 0.0000)

Summary:
Crystal system   monoclinic
ΔE_f (raw)   -10.81 eV/f.u.
Magnetization   0.00 μB per formula unit

3.
Below is an optimized crystal structure of SmY2Sc, with properties calculated at the PBE-GGA level.

Cell lengths 3.5456, 3.5456, 11.4607 Å; angles 81.10, 81.10, 60.00 degrees
Element x y z (fractional)
Sm (0.5004, 0.5004, 0.4988)
Y (0.0797, 0.0797, 0.7610)
Y (0.2536, 0.2536, 0.2391)
Sc (0.6663, 0.6663, 0.0011)

Summary:
Energy above the most stable polymorph in this dataset   0.019 eV per atom
Crystal system   trigonal
Magnetization   0.00 μB per formula unit

Please write out number 3 again, unchanged.
Below is an optimized crystal structure of SmY2Sc, with properties calculated at the PBE-GGA level.

Cell lengths 3.5456, 3.5456, 11.4607 Å; angles 81.10, 81.10, 60.00 degrees
Element x y z (fractional)
Sm (0.5004, 0.5004, 0.4988)
Y (0.0797, 0.0797, 0.7610)
Y (0.2536, 0.2536, 0.2391)
Sc (0.6663, 0.6663, 0.0011)

Summary:
Energy above the most stable polymorph in this dataset   0.019 eV per atom
Crystal system   trigonal
Magnetization   0.00 μB per formula unit